1.
VASP calculation (PBE) on crystalline Ac2PrPuSe4 at its relaxed geometry.

Output
Energy relative to the elements, uncorrected, meV/atom: -1774

Cell: 7.520 4.323 7.540 Å, 90.00 109.24 90.00°
Atoms (fractional coordinates):
Ac 0.000 0.000 0.000
Ac 0.500 0.500 0.000
Pr 0.000 0.500 0.500
Pu 0.500 0.000 0.500
Se 0.249 0.000 0.735
Se 0.261 0.500 0.268
Se 0.739 0.500 0.732
Se 0.751 0.000 0.265

2.
VASP calculation (PBE) on crystalline KYP2S at its relaxed geometry.

Output
Energy relative to the lowest polymorph listed for this composition, meV per atom: 1095
Energy relative to the elements, uncorrected, meV/atom: 858

Cell: 5.006 5.006 5.175 Å, 90.00 90.00 90.00°
Atoms (fractional coordinates):
K 0.000 0.000 0.000
Y 0.500 0.500 0.500
P 0.000 0.500 0.000
P 0.500 0.000 0.000
S 0.000 0.000 0.500

3.
VASP calculation (PBE) on crystalline Li2TeAs at its relaxed geometry.

Output
Energy relative to the lowest polymorph listed for this composition, meV per atom: 0
Energy relative to the elements, uncorrected, meV/atom: -506

Cell: 4.716 4.716 4.981 Å, 103.78 103.78 47.45°
Atoms (fractional coordinates):
Li 0.243 0.243 0.219
Li 0.757 0.757 0.781
Te 0.000 0.000 0.500
As 0.500 0.500 0.000